1.
DFT (PBE) results for a relaxed structure of LiPd2Pt2.

- DFT formation energy: -0.103 eV/atom
- Total magnetic moment: 0.0 μB per cell
- E_tot: -4.979 eV/atom
- Space group: P4/mbm
- V: 169.2 Å³/cell

a = 7.790 Å, b = 7.790 Å, c = 2.788 Å
α = 90.00°, β = 90.00°, γ = 90.00°
Element x y z (fractional)
1 Li 0.000 0.000 0.000
2 Li 0.500 0.500 0.000
3 Pd 0.178 0.322 0.500
4 Pd 0.322 0.822 0.500
5 Pd 0.678 0.178 0.500
6 Pd 0.822 0.678 0.500
7 Pt 0.122 0.622 0.000
8 Pt 0.378 0.122 0.000
9 Pt 0.622 0.878 0.000
10 Pt 0.878 0.378 0.000

2.
DFT (PBE) results for a relaxed structure of LiPd6Pt.

- DFT formation energy: 0.339 eV/atom
- Total magnetic moment: 0.0 μB per cell
- E_tot: -4.550 eV/atom
- Space group: R-3m
- V: 140.5 Å³/cell

a = 5.227 Å, b = 5.227 Å, c = 5.227 Å
α = 83.78°, β = 83.78°, γ = 83.78°
Element x y z (fractional)
1 Li 0.000 0.000 0.000
2 Pd 0.159 0.159 0.545
3 Pd 0.159 0.545 0.159
4 Pd 0.455 0.841 0.841
5 Pd 0.545 0.159 0.159
6 Pd 0.841 0.455 0.841
7 Pd 0.841 0.841 0.455
8 Pt 0.500 0.500 0.500

- Number 1 is which compound?
  LiPd2Pt2

- What is the V in the second record?
  140.5 Å³/cell